# 1
Compound: NaUAu
Source: OQMD
Functional: PBE
Structure: optimized geometry

Cell lengths 4.921, 4.921, 4.921 Å; angles 60.00, 60.00, 60.00 degrees
Sites, in units of the cell vectors:
Au 0.250 0.250 0.250
U 0.000 0.000 0.000
Na 0.750 0.750 0.750

Calculated values
**Energy above the lowest structure with this stoichiometry**: 414 meV per atom
**Uncorrected energy**: -13.15 eV per cell

---

# 2
Compound: Na2W3Au2
Source: OQMD
Functional: PBE
Structure: optimized geometry

Cell lengths 7.650, 7.650, 7.650 Å; angles 34.37, 34.37, 34.37 degrees
Sites, in units of the cell vectors:
Au 0.055 0.055 0.055
W 0.931 0.931 0.931
Na 0.189 0.189 0.189
Au 0.486 0.486 0.486
W 0.619 0.619 0.619
Na 0.769 0.769 0.769
W 0.326 0.326 0.326

Calculated values
**Uncorrected energy**: -44.13 eV per cell